A relaxed structure of CaPr9Ho2. Source: Alexandria, functional PBE-GGA. Values from VASP.

Calculated values
Formation energy from the elements in eV per atom: 0.027
Space group: P4/mmm

The structure in Quantum ESPRESSO input format:
```
&SYSTEM
  ibrav = 0, nat = 12, ntyp = 3
/
ATOMIC_SPECIES
Ca 40.08 Ca.upf
Pr 140.91 Pr.upf
Ho 164.93 Ho.upf
CELL_PARAMETERS angstrom
5.2148 0.0000 0.0000
0.0000 5.2148 0.0000
0.0000 0.0000 15.6761
ATOMIC_POSITIONS crystal
Ca 0.0000 0.0000 0.0000
Pr 0.0000 0.5000 0.1726
Pr 0.0000 0.5000 0.5000
Pr 0.0000 0.5000 0.8274
Pr 0.5000 0.0000 0.1726
Pr 0.5000 0.0000 0.5000
Pr 0.5000 0.0000 0.8274
Pr 0.5000 0.5000 0.0000
Pr 0.5000 0.5000 0.3350
Pr 0.5000 0.5000 0.6650
Ho 0.0000 0.0000 0.3343
Ho 0.0000 0.0000 0.6657
```